LiTm3Ni8 after structural relaxation, computed with PBE.

```
LiTm3Ni8
1.0
2.469 1.426 8.063
-2.469 1.426 8.063
0.000 -2.851 8.063
Li Tm Ni
1 3 8
Direct
0.000 0.000 0.000 Li
0.364 0.364 0.364 Tm
0.493 0.493 0.493 Tm
0.879 0.879 0.879 Tm
0.183 0.183 0.183 Ni
0.433 0.932 0.932 Ni
0.435 0.435 0.929 Ni
0.435 0.929 0.435 Ni
0.682 0.682 0.682 Ni
0.929 0.435 0.435 Ni
0.932 0.433 0.932 Ni
0.932 0.932 0.433 Ni
```

## Properties
SG: R3m, No. 160
M_tot: 0.06 μB per cell
VASP energy: -65.1 eV for the cell shown
volume: 170.29 Å³ per cell